Entry from Alexandria: a geometry-optimized NiAg3Bi structure (PBE-GGA).

Cell and atoms, written as CIF:
```
data_NiAg3Bi
_cell_length_a 4.817
_cell_length_b 4.817
_cell_length_c 4.817
_cell_angle_alpha 90.00
_cell_angle_beta 90.00
_cell_angle_gamma 90.00
_space_group_name_H-M_alt 'P m -3 m'
_space_group_IT_number 221
_space_group_name_Hall '-P 4 2 3'
loop_
_atom_site_label
_atom_site_fract_x
_atom_site_fract_y
_atom_site_fract_z
_atom_site_occupancy
Ni1 0.000 0.000 0.000 1
Ag1 0.000 0.000 0.500 1
Bi1 0.500 0.500 0.500 1
```

Spin magnetization (μB/atom): 0.050
ΔE to the lowest computed polymorph (meV/atom): 0
D(E_F) (states/eV/f.u.): 4.99
Formation energy from the elements (eV per atom): 0.5843
Total DFT energy (no corrections) (eV per formula unit): -15.295

***

Entry from Alexandria: a geometry-optimized Sm13Er3 structure (PBE-GGA).

Cell and atoms, written as CIF:
```
data_Sm13Er3
_cell_length_a 7.320
_cell_length_b 11.565
_cell_length_c 12.663
_cell_angle_alpha 90.00
_cell_angle_beta 90.00
_cell_angle_gamma 90.00
_space_group_name_H-M_alt 'A m m 2'
_space_group_IT_number 38
_space_group_name_Hall 'A 2 -2'
loop_
_atom_site_label
_atom_site_fract_x
_atom_site_fract_y
_atom_site_fract_z
_atom_site_occupancy
Sm1 0.000 0.000 0.000 1
Sm2 0.000 0.000 0.502 1
Sm3 0.000 0.247 0.668 1
Sm4 0.250 0.000 0.250 1
Sm5 0.251 0.248 0.918 1
Sm6 0.500 0.000 0.502 1
Sm7 0.500 0.249 0.668 1
Er1 0.251 0.000 0.752 1
Er2 0.500 0.000 0.999 1
```

Spin magnetization (μB/atom): 0.000
D(E_F) (states/eV/f.u.): 27.85
Formation energy from the elements (eV per atom): 0.0265
Total DFT energy (no corrections) (eV per formula unit): -74.614

***

Entry from Alexandria: a geometry-optimized CsThPaS6 structure (PBE-GGA).

Cell and atoms, written as CIF:
```
data_CsThPaS6
_cell_length_a 9.025
_cell_length_b 10.473
_cell_length_c 11.177
_cell_angle_alpha 90.00
_cell_angle_beta 90.00
_cell_angle_gamma 90.00
_space_group_name_H-M_alt 'I m m a'
_space_group_IT_number 74
_space_group_name_Hall '-I 2b 2'
loop_
_atom_site_label
_atom_site_fract_x
_atom_site_fract_y
_atom_site_fract_z
_atom_site_occupancy
Cs1 0.000 0.250 0.179 1
Th1 0.250 0.250 0.750 1
Pa1 0.000 0.000 0.500 1
S1 0.000 0.250 0.563 1
S2 0.000 0.250 0.879 1
S3 0.237 0.007 0.365 1
```

Spin magnetization (μB/atom): 0.000
Formation energy (no corrections) (meV per atom): -1333
D(E_F) (states/eV/f.u.): 2.06
Total DFT energy (no corrections) (eV per formula unit): -54.531

***

Entry from Alexandria: a geometry-optimized Ac2HoPb2O2 structure (PBE-GGA).

Cell and atoms, written as CIF:
```
data_Ac2HoPb2O2
_cell_length_a 4.512
_cell_length_b 4.512
_cell_length_c 17.320
_cell_angle_alpha 90.00
_cell_angle_beta 90.00
_cell_angle_gamma 90.00
_space_group_name_H-M_alt 'I 4/m m m'
_space_group_IT_number 139
_space_group_name_Hall '-I 4 2'
loop_
_atom_site_label
_atom_site_fract_x
_atom_site_fract_y
_atom_site_fract_z
_atom_site_occupancy
Ac1 0.000 0.000 0.109 1
Ho1 0.000 0.000 0.500 1
Pb1 0.000 0.000 0.301 1
O1 0.000 0.500 0.000 1
```

Spin magnetization (μB/atom): 0.000
Formation energy (no corrections) (meV per atom): -1688
D(E_F) (states/eV/f.u.): 5.19
Total DFT energy (no corrections) (eV per formula unit): -41.947